No. 1
The following is a DFT calculation (PBE-GGA) of a relaxed TaZnAs2 crystal.

Geometry as extended XYZ:
```
4
Lattice="4.423 -0.607 -0.126 -3.317 6.035 0.944 0.309 1.596 2.969" Properties=species:S:1:pos:R:3 pbc="T T T"
Ta 0.553 2.714 0.409
As -1.504 3.816 1.957
Zn 2.366 0.495 1.422
As 0.000 0.000 0.000
```

=====

No. 2
The following is a DFT calculation (PBE-GGA) of a relaxed Sr2IrPt crystal.

Geometry as extended XYZ:
```
4
Lattice="-4.131 -6.981 -2.284 -0.312 -8.029 -2.543 -2.152 -8.090 0.973" Properties=species:S:1:pos:R:3 pbc="T T T"
Pt -4.947 -17.325 -2.891
Sr -3.278 -11.479 -1.915
Sr -0.020 -0.071 -0.012
Ir -1.649 -5.775 -0.964
```

=====

no.,calculated formation energy (eV/atom)
1,0.11
2,0.05